P | Below is crystalline CuNiBMo at its relaxed geometry, with properties calculated at the GGA-PBE level.

```
4
Lattice="1.098 0.086 3.838 -2.749 -0.369 2.871 -0.158 -3.330 2.197" Properties=species:S:1:pos:R:3 pbc="T T T"
B 0.000 0.000 0.000
Cu -1.357 -2.710 6.679
Mo -0.452 -0.903 2.226
Ni -0.905 -1.807 4.453
```


Q | Below is crystalline CuNiBMo at its relaxed geometry, with properties calculated at the GGA-PBE level.

```
4
Lattice="0.466 1.764 3.583 -2.209 3.220 0.958 -2.890 -0.299 2.780" Properties=species:S:1:pos:R:3 pbc="T T T"
B 0.000 0.000 0.000
Cu -3.475 3.514 5.491
Mo -2.316 2.343 3.661
Ni -1.158 1.171 1.830
```


Stability summary - winner: P; margin: 332 meV per atom.


P | Below is crystalline YCuBMo at its relaxed geometry, with properties calculated at the GGA-PBE level.

```
4
Lattice="2.583 1.103 3.381 0.031 4.138 1.484 -1.778 0.947 3.907" Properties=species:S:1:pos:R:3 pbc="T T T"
B 0.000 0.000 0.000
Cu 0.627 4.641 6.579
Mo 0.209 1.547 2.193
Y 0.418 3.094 4.386
```


Q | Below is crystalline YCuBMo at its relaxed geometry, with properties calculated at the GGA-PBE level.

```
4
Lattice="-3.738 2.136 1.263 -1.138 3.877 -1.953 -3.531 0.169 -2.764" Properties=species:S:1:pos:R:3 pbc="T T T"
B 0.000 0.000 0.000
Cu -6.305 4.636 -2.590
Mo -4.203 3.091 -1.727
Y -2.102 1.545 -0.863
```


Stability summary - winner: P; margin: 141 meV per atom.


P | Below is crystalline ZnCuBMo at its relaxed geometry, with properties calculated at the GGA-PBE level.

```
4
Lattice="0.000 2.882 2.882 2.882 0.000 2.882 2.882 2.882 0.000" Properties=species:S:1:pos:R:3 pbc="T T T"
B 0.000 0.000 0.000
Cu 4.324 4.324 4.324
Mo 1.441 1.441 1.441
Zn 2.882 2.882 2.882
```


Q | Below is crystalline ZnCuBMo at its relaxed geometry, with properties calculated at the GGA-PBE level.

```
4
Lattice="1.886 -3.126 -1.957 -2.109 -3.448 -0.909 -0.963 -0.862 -3.936" Properties=species:S:1:pos:R:3 pbc="T T T"
B 0.000 0.000 0.000
Cu -0.889 -5.577 -5.101
Mo -0.593 -3.718 -3.400
Zn -0.296 -1.859 -1.700
```


Stability summary - winner: P; margin: 431 meV per atom.


P | Below is crystalline NbCuNiB at its relaxed geometry, with properties calculated at the GGA-PBE level.

```
4
Lattice="0.000 2.865 2.865 2.865 0.000 2.865 2.865 2.865 0.000" Properties=species:S:1:pos:R:3 pbc="T T T"
B 0.000 0.000 0.000
Cu 4.297 4.297 4.297
Nb 1.432 1.432 1.432
Ni 2.865 2.865 2.865
```


Q | Below is crystalline NbCuNiB at its relaxed geometry, with properties calculated at the GGA-PBE level.

```
4
Lattice="0.000 2.876 2.876 2.876 0.000 2.876 2.876 2.876 0.000" Properties=species:S:1:pos:R:3 pbc="T T T"
B 0.000 0.000 0.000
Cu 4.313 4.313 4.313
Nb 2.876 2.876 2.876
Ni 1.438 1.438 1.438
```


Stability summary - winner: P; margin: 242 meV per atom.